Arrangement a

A plane-wave DFT calculation with PBE was carried out for crystalline MnReHg2 at its relaxed geometry.

The structure in CIF format:
```
data_MnReHg2
_chemical_formula_sum 'Mn1 Re1 Hg2'
_symmetry_space_group_name_H-M 'P 1'
_symmetry_Int_Tables_number 1
_cell_length_a 9.8409
_cell_length_b 9.8409
_cell_length_c 9.8409
_cell_angle_alpha 17.25
_cell_angle_beta 17.25
_cell_angle_gamma 17.25
loop_
_symmetry_equiv_pos_as_xyz
'x,y,z'
loop_
_atom_site_label
_atom_site_type_symbol
_atom_site_fract_x
_atom_site_fract_y
_atom_site_fract_z
Hg1 Hg 0.0076 0.0076 0.0076
Hg2 Hg 0.2391 0.2391 0.2391
Mn1 Mn 0.4909 0.4909 0.4909
Re1 Re 0.7624 0.7624 0.7624
```

## Properties
DOS at the Fermi energy	2.1	states/eV per cell
calculated volume	18.28	A^3/atom
SG	No. 160



Arrangement b

A plane-wave DFT calculation with PBE was carried out for crystalline MnReHg2 at its relaxed geometry.

The structure in CIF format:
```
data_MnReHg2
_chemical_formula_sum 'Mn1 Re1 Hg2'
_symmetry_space_group_name_H-M 'P 1'
_symmetry_Int_Tables_number 1
_cell_length_a 5.4361
_cell_length_b 5.4361
_cell_length_c 5.4361
_cell_angle_alpha 145.00
_cell_angle_beta 129.37
_cell_angle_gamma 63.03
loop_
_symmetry_equiv_pos_as_xyz
'x,y,z'
loop_
_atom_site_label
_atom_site_type_symbol
_atom_site_fract_x
_atom_site_fract_y
_atom_site_fract_z
Hg1 Hg 0.9901 0.9901 0.0000
Hg2 Hg 0.5099 0.5099 0.0000
Mn1 Mn 0.7500 0.2500 0.5000
Re1 Re 0.2500 0.7500 0.5000
```

## Properties
DOS at the Fermi energy	3.2	states/eV per cell
calculated volume	17.61	A^3/atom
SG	No. 71



Arrangement c

A plane-wave DFT calculation with PBE was carried out for crystalline MnReHg2 at its relaxed geometry.

The structure in CIF format:
```
data_MnReHg2
_chemical_formula_sum 'Mn1 Re1 Hg2'
_symmetry_space_group_name_H-M 'P 1'
_symmetry_Int_Tables_number 1
_cell_length_a 5.6224
_cell_length_b 5.6224
_cell_length_c 5.0245
_cell_angle_alpha 66.82
_cell_angle_beta 66.82
_cell_angle_gamma 29.86
loop_
_symmetry_equiv_pos_as_xyz
'x,y,z'
loop_
_atom_site_label
_atom_site_type_symbol
_atom_site_fract_x
_atom_site_fract_y
_atom_site_fract_z
Hg1 Hg 0.9845 0.9845 0.0631
Hg2 Hg 0.7633 0.7633 0.6918
Mn1 Mn 0.5279 0.5279 0.5249
Re1 Re 0.2243 0.2243 0.2203
```

## Properties
DOS at the Fermi energy	2.5	states/eV per cell
calculated volume	18.05	A^3/atom
SG	No. 8



Arrangement d

A plane-wave DFT calculation with PBE was carried out for crystalline MnReHg2 at its relaxed geometry.

The structure in CIF format:
```
data_MnReHg2
_chemical_formula_sum 'Mn1 Re1 Hg2'
_symmetry_space_group_name_H-M 'P 1'
_symmetry_Int_Tables_number 1
_cell_length_a 9.5878
_cell_length_b 9.5878
_cell_length_c 9.5878
_cell_angle_alpha 17.72
_cell_angle_beta 17.72
_cell_angle_gamma 17.72
loop_
_symmetry_equiv_pos_as_xyz
'x,y,z'
loop_
_atom_site_label
_atom_site_type_symbol
_atom_site_fract_x
_atom_site_fract_y
_atom_site_fract_z
Hg1 Hg 0.9985 0.9985 0.9985
Hg2 Hg 0.5015 0.5015 0.5015
Mn1 Mn 0.2500 0.2500 0.2500
Re1 Re 0.7500 0.7500 0.7500
```

## Properties
DOS at the Fermi energy	4.1	states/eV per cell
calculated volume	17.81	A^3/atom
SG	No. 166



Stability, descending: arrangement a, arrangement c, arrangement d, arrangement b



Arrangement a

A plane-wave DFT calculation with PBE was carried out for crystalline MnReHg at its relaxed geometry.

The structure in CIF format:
```
data_MnReHg
_chemical_formula_sum 'Mn1 Re1 Hg1'
_symmetry_space_group_name_H-M 'P 1'
_symmetry_Int_Tables_number 1
_cell_length_a 7.1562
_cell_length_b 6.9655
_cell_length_c 2.7840
_cell_angle_alpha 82.51
_cell_angle_beta 74.81
_cell_angle_gamma 22.69
loop_
_symmetry_equiv_pos_as_xyz
'x,y,z'
loop_
_atom_site_label
_atom_site_type_symbol
_atom_site_fract_x
_atom_site_fract_y
_atom_site_fract_z
Hg1 Hg 0.0053 0.0053 0.9947
Mn1 Mn 0.6788 0.6788 0.3212
Re1 Re 0.3159 0.3159 0.6841
```

## Properties
DOS at the Fermi energy	1.9	states/eV per cell
calculated volume	16.43	A^3/atom
SG	No. 42



Arrangement b

A plane-wave DFT calculation with PBE was carried out for crystalline MnReHg at its relaxed geometry.

The structure in CIF format:
```
data_MnReHg
_chemical_formula_sum 'Mn1 Re1 Hg1'
_symmetry_space_group_name_H-M 'P 1'
_symmetry_Int_Tables_number 1
_cell_length_a 2.8056
_cell_length_b 2.8056
_cell_length_c 6.9189
_cell_angle_alpha 90.00
_cell_angle_beta 90.00
_cell_angle_gamma 120.00
loop_
_symmetry_equiv_pos_as_xyz
'x,y,z'
loop_
_atom_site_label
_atom_site_type_symbol
_atom_site_fract_x
_atom_site_fract_y
_atom_site_fract_z
Hg1 Hg 0.0000 0.0000 0.0120
Mn1 Mn 0.3333 0.6667 0.3577
Re1 Re 0.6667 0.3333 0.6302
```

## Properties
DOS at the Fermi energy	2.0	states/eV per cell
calculated volume	15.72	A^3/atom
SG	No. 156



Arrangement c

A plane-wave DFT calculation with PBE was carried out for crystalline MnReHg at its relaxed geometry.

The structure in CIF format:
```
data_MnReHg
_chemical_formula_sum 'Mn1 Re1 Hg1'
_symmetry_space_group_name_H-M 'P 1'
_symmetry_Int_Tables_number 1
_cell_length_a 6.0411
_cell_length_b 6.0411
_cell_length_c 6.0411
_cell_angle_alpha 152.34
_cell_angle_beta 152.34
_cell_angle_gamma 39.52
loop_
_symmetry_equiv_pos_as_xyz
'x,y,z'
loop_
_atom_site_label
_atom_site_type_symbol
_atom_site_fract_x
_atom_site_fract_y
_atom_site_fract_z
Hg1 Hg 0.9942 0.9942 0.0000
Mn1 Mn 0.3111 0.3111 0.0000
Re1 Re 0.6947 0.6947 0.0000
```

## Properties
DOS at the Fermi energy	1.7	states/eV per cell
calculated volume	15.81	A^3/atom
SG	No. 107



Arrangement d

A plane-wave DFT calculation with PBE was carried out for crystalline MnReHg at its relaxed geometry.

The structure in CIF format:
```
data_MnReHg
_chemical_formula_sum 'Mn1 Re1 Hg1'
_symmetry_space_group_name_H-M 'P 1'
_symmetry_Int_Tables_number 1
_cell_length_a 4.2156
_cell_length_b 4.2156
_cell_length_c 4.2156
_cell_angle_alpha 60.00
_cell_angle_beta 60.00
_cell_angle_gamma 60.00
loop_
_symmetry_equiv_pos_as_xyz
'x,y,z'
loop_
_atom_site_label
_atom_site_type_symbol
_atom_site_fract_x
_atom_site_fract_y
_atom_site_fract_z
Hg1 Hg 0.5000 0.5000 0.5000
Mn1 Mn 0.7500 0.7500 0.7500
Re1 Re 0.0000 0.0000 0.0000
```

## Properties
DOS at the Fermi energy	1.0	states/eV per cell
calculated volume	17.66	A^3/atom
SG	No. 216



Stability, descending: arrangement c, arrangement b, arrangement a, arrangement d



Arrangement a

A plane-wave DFT calculation with PBE was carried out for crystalline Mn2HgRh2 at its relaxed geometry.

The structure in CIF format:
```
data_Mn2HgRh2
_chemical_formula_sum 'Mn4 Hg2 Rh4'
_symmetry_space_group_name_H-M 'P 1'
_symmetry_Int_Tables_number 1
_cell_length_a 7.4074
_cell_length_b 7.4074
_cell_length_c 2.8966
_cell_angle_alpha 90.00
_cell_angle_beta 90.00
_cell_angle_gamma 90.00
loop_
_symmetry_equiv_pos_as_xyz
'x,y,z'
loop_
_atom_site_label
_atom_site_type_symbol
_atom_site_fract_x
_atom_site_fract_y
_atom_site_fract_z
Mn1 Mn 0.3588 0.8588 0.0000
Mn2 Mn 0.8588 0.6412 0.0000
Mn3 Mn 0.6412 0.1412 0.0000
Mn4 Mn 0.1412 0.3588 0.0000
Rh1 Rh 0.1517 0.6517 0.5000
Rh2 Rh 0.6517 0.8483 0.5000
Rh3 Rh 0.8483 0.3483 0.5000
Rh4 Rh 0.3483 0.1517 0.5000
Hg1 Hg 0.0000 0.0000 0.0000
Hg2 Hg 0.5000 0.5000 0.0000
```

## Properties
DOS at the Fermi energy	6.8	states/eV per cell
calculated volume	15.89	A^3/atom
SG	No. 127



Arrangement b

A plane-wave DFT calculation with PBE was carried out for crystalline Mn2HgRh2 at its relaxed geometry.

The structure in CIF format:
```
data_Mn2HgRh2
_chemical_formula_sum 'Mn4 Hg2 Rh4'
_symmetry_space_group_name_H-M 'P 1'
_symmetry_Int_Tables_number 1
_cell_length_a 7.3921
_cell_length_b 7.3921
_cell_length_c 2.9200
_cell_angle_alpha 90.00
_cell_angle_beta 90.00
_cell_angle_gamma 90.00
loop_
_symmetry_equiv_pos_as_xyz
'x,y,z'
loop_
_atom_site_label
_atom_site_type_symbol
_atom_site_fract_x
_atom_site_fract_y
_atom_site_fract_z
Mn1 Mn 0.1573 0.6573 0.5000
Mn2 Mn 0.6573 0.8427 0.5000
Mn3 Mn 0.8427 0.3427 0.5000
Mn4 Mn 0.3427 0.1573 0.5000
Rh1 Rh 0.3626 0.8626 0.0000
Rh2 Rh 0.8626 0.6374 0.0000
Rh3 Rh 0.6374 0.1374 0.0000
Rh4 Rh 0.1374 0.3626 0.0000
Hg1 Hg 0.0000 0.0000 0.0000
Hg2 Hg 0.5000 0.5000 0.0000
```

## Properties
DOS at the Fermi energy	7.6	states/eV per cell
calculated volume	15.96	A^3/atom
SG	No. 127



Stability, descending: arrangement b, arrangement a



Arrangement a

A plane-wave DFT calculation with PBE was carried out for crystalline MnHgRh at its relaxed geometry.

The structure in CIF format:
```
data_MnHgRh
_chemical_formula_sum 'Mn1 Hg1 Rh1'
_symmetry_space_group_name_H-M 'P 1'
_symmetry_Int_Tables_number 1
_cell_length_a 4.4036
_cell_length_b 4.4036
_cell_length_c 2.9837
_cell_angle_alpha 90.00
_cell_angle_beta 90.00
_cell_angle_gamma 120.00
loop_
_symmetry_equiv_pos_as_xyz
'x,y,z'
loop_
_atom_site_label
_atom_site_type_symbol
_atom_site_fract_x
_atom_site_fract_y
_atom_site_fract_z
Hg1 Hg 0.0000 0.0000 0.0207
Mn1 Mn 0.3333 0.6667 0.3941
Rh1 Rh 0.6667 0.3333 0.5852
```

## Properties
DOS at the Fermi energy	1.6	states/eV per cell
calculated volume	16.70	A^3/atom
SG	No. 156



Arrangement b

A plane-wave DFT calculation with PBE was carried out for crystalline MnHgRh at its relaxed geometry.

The structure in CIF format:
```
data_MnHgRh
_chemical_formula_sum 'Mn1 Hg1 Rh1'
_symmetry_space_group_name_H-M 'P 1'
_symmetry_Int_Tables_number 1
_cell_length_a 4.3893
_cell_length_b 4.3893
_cell_length_c 4.3893
_cell_angle_alpha 60.00
_cell_angle_beta 60.00
_cell_angle_gamma 60.00
loop_
_symmetry_equiv_pos_as_xyz
'x,y,z'
loop_
_atom_site_label
_atom_site_type_symbol
_atom_site_fract_x
_atom_site_fract_y
_atom_site_fract_z
Hg1 Hg 0.0000 0.0000 0.0000
Mn1 Mn 0.5000 0.5000 0.5000
Rh1 Rh 0.2500 0.2500 0.2500
```

## Properties
DOS at the Fermi energy	1.4	states/eV per cell
calculated volume	19.93	A^3/atom
SG	No. 216



Stability, descending: arrangement a, arrangement b